A relaxed structure of Nd3Ho4Au4. Source: Alexandria, functional PBE-GGA.

energy	-4.7394	eV/atom
energy relative to the elements	-0.5827	eV per atom

```
Nd3Ho4Au4
1.0
-2.4316 3.8911 7.8929
2.4316 -3.8911 7.8929
2.4316 3.8911 -7.8929
Nd Ho Au
3 4 4
Direct
0.0000 0.0000 0.0000
0.3966 0.8966 0.5000
0.6034 0.1034 0.5000
0.0403 0.3270 0.7132
0.3862 0.6730 0.7132
0.6138 0.3270 0.2868
0.9597 0.6730 0.2868
0.2073 0.2073 0.0000
0.3100 0.5000 0.8100
0.6900 0.5000 0.1900
0.7927 0.7927 0.0000
```